Here is crystalline ZnSbIr2 at its relaxed geometry from the Alexandria database. Energies are from PBE.

Unit cell a=8.3663 b=8.3663 c=8.3663 alpha=21.06 beta=21.06 gamma=21.06
Closest atoms and distances in Å follow each position.
Sites, in units of the cell vectors:
Zn 0.0000 0.0000 0.0000  6 Ir 2.67
Sb 0.5000 0.5000 0.5000  6 Ir 2.74, 6 Sb 3.06
Ir 0.2518 0.2518 0.2518  3 Zn 2.67, 3 Sb 2.74
Ir 0.7482 0.7482 0.7482  3 Zn 2.67, 3 Sb 2.74

As for the energy above the most stable polymorph in this dataset: 0.193 eV per atom. The total moment comes out at 0.00 μB/cell. For the density of states at the Fermi level, the calculation gives 1.123 states/eV/f.u. The uncorrected formation energy comes out at 59 kJ/mol of formula units.